Entry 1:
# LiLaCu (PBE-GGA, relaxed)
data_LiLaCu
_symmetry_space_group_name_H-M 'P -6 m 2'
_symmetry_Int_Tables_number 187
_symmetry_space_group_name_Hall 'P -6 2'
_cell_length_a 4.5729
_cell_length_b 4.5729
_cell_length_c 3.7036
_cell_angle_alpha 90.00
_cell_angle_beta 90.00
_cell_angle_gamma 120.00
loop_
_atom_site_label
_atom_site_fract_x
_atom_site_fract_y
_atom_site_fract_z
Li1 0.0000 0.0000 0.0000
La1 0.3333 0.6667 0.5000
Cu1 0.6667 0.3333 0.0000
# - Energy of formation from the pure elements: -12.9 meV/atom
# - Total moment: 0.0 μB/cell
# - Distance to the lowest polymorph of the same formula: 0.174 eV/f.u.

---

Entry 2:
# LiLaCu (PBE-GGA, relaxed)
data_LiLaCu
_symmetry_space_group_name_H-M 'I m m 2'
_symmetry_Int_Tables_number 44
_cell_length_a 3.5714
_cell_length_b 3.5816
_cell_length_c 10.1842
_cell_angle_alpha 90.00
_cell_angle_beta 90.00
_cell_angle_gamma 90.00
loop_
_symmetry_equiv_pos_as_xyz
'x,y,z'
'-x,-y,z'
'-x,y,z'
'x,-y,z'
'x+1/2,y+1/2,z+1/2'
'-x+1/2,-y+1/2,z+1/2'
'-x+1/2,y+1/2,z+1/2'
'x+1/2,-y+1/2,z+1/2'
loop_
_atom_site_label
_atom_site_fract_x
_atom_site_fract_y
_atom_site_fract_z
Li1 0.0000 0.0000 0.0000
La1 0.0000 0.0000 0.7121
Cu1 0.0000 0.0000 0.3894
# - Energy of formation from the pure elements: 6.8 meV/atom
# - Total moment: 0.0 μB/cell
# - Distance to the lowest polymorph of the same formula: 0.233 eV/f.u.

---

Entry 3:
# LiLaCu17 (PBE-GGA, relaxed)
data_LiLaCu17
_symmetry_space_group_name_H-M 'R 3 m'
_symmetry_Int_Tables_number 160
_symmetry_space_group_name_Hall 'R 3 -2"'
_cell_length_a 8.5413
_cell_length_b 8.5413
_cell_length_c 12.5271
_cell_angle_alpha 90.00
_cell_angle_beta 90.00
_cell_angle_gamma 120.00
loop_
_atom_site_label
_atom_site_fract_x
_atom_site_fract_y
_atom_site_fract_z
Li1 0.0000 0.0000 0.0000
La1 0.0000 0.0000 0.3162
Cu1 0.0000 0.0000 0.5678
Cu2 0.0000 0.0000 0.7623
Cu3 0.0014 0.5007 0.1594
Cu4 0.0023 0.5012 0.8148
Cu5 0.0044 0.3000 0.6607
Cu6 0.0092 0.5046 0.5068
# - Energy of formation from the pure elements: -26.0 meV/atom
# - Total moment: 0.0 μB/cell

---

Entry 4:
# Li6LaCu2 (PBE-GGA, relaxed)
data_Li6LaCu2
_symmetry_space_group_name_H-M 'P 4/m m m'
_symmetry_Int_Tables_number 123
_symmetry_space_group_name_Hall '-P 4 2'
_cell_length_a 4.0128
_cell_length_b 4.0128
_cell_length_c 10.9009
_cell_angle_alpha 90.00
_cell_angle_beta 90.00
_cell_angle_gamma 90.00
loop_
_atom_site_label
_atom_site_fract_x
_atom_site_fract_y
_atom_site_fract_z
Li1 0.0000 0.0000 0.0000
Li2 0.0000 0.5000 0.2192
Li3 0.5000 0.5000 0.0000
La1 0.0000 0.0000 0.5000
Cu1 0.5000 0.5000 0.3836
# - Energy of formation from the pure elements: -52.9 meV/atom
# - Total moment: 0.0 μB/cell

---

Entry 5:
# LiLa2Cu (PBE-GGA, relaxed)
data_LiLa2Cu
_symmetry_space_group_name_H-M 'I -4 m 2'
_symmetry_Int_Tables_number 119
_symmetry_space_group_name_Hall 'I -4 -2'
_cell_length_a 5.0841
_cell_length_b 5.0841
_cell_length_c 7.1141
_cell_angle_alpha 90.00
_cell_angle_beta 90.00
_cell_angle_gamma 90.00
loop_
_atom_site_label
_atom_site_fract_x
_atom_site_fract_y
_atom_site_fract_z
Li1 0.0000 0.0000 0.0000
La1 0.0000 0.0000 0.5000
La2 0.0000 0.5000 0.7500
Cu1 0.0000 0.5000 0.2500
# - Energy of formation from the pure elements: 79.7 meV/atom
# - Total moment: 0.0 μB/cell
# - Distance to the lowest polymorph of the same formula: 0.432 eV/f.u.

---

Entry 6:
# Li3LaCu8 (PBE-GGA, relaxed)
data_Li3LaCu8
_symmetry_space_group_name_H-M 'P 3 m 1'
_symmetry_Int_Tables_number 156
_cell_length_a 5.0243
_cell_length_b 5.0243
_cell_length_c 8.3484
_cell_angle_alpha 90.00
_cell_angle_beta 90.00
_cell_angle_gamma 120.00
loop_
_symmetry_equiv_pos_as_xyz
'x,y,z'
'-y,x-y,z'
'-x+y,-x,z'
'-y,-x,z'
'-x+y,y,z'
'x,x-y,z'
loop_
_atom_site_label
_atom_site_fract_x
_atom_site_fract_y
_atom_site_fract_z
Li1 0.0000 0.0000 0.0000
Li2 0.0000 0.0000 0.3336
Li3 0.3333 0.6667 0.9173
La1 0.3333 0.6667 0.5135
Cu1 0.3294 0.1647 0.7128
Cu2 0.5004 0.0008 0.1909
Cu3 0.6667 0.3333 0.4443
Cu4 0.6667 0.3333 0.9488
# - Energy of formation from the pure elements: -94.1 meV/atom
# - Total moment: 0.0 μB/cell
# - Distance to the lowest polymorph of the same formula: 0.000 eV/f.u.

---

Entry 7:
# LiLa2Cu (PBE-GGA, relaxed)
data_LiLa2Cu
_symmetry_space_group_name_H-M 'F m -3 m'
_symmetry_Int_Tables_number 225
_symmetry_space_group_name_Hall '-F 4 2 3'
_cell_length_a 7.4718
_cell_length_b 7.4718
_cell_length_c 7.4718
_cell_angle_alpha 90.00
_cell_angle_beta 90.00
_cell_angle_gamma 90.00
loop_
_atom_site_label
_atom_site_fract_x
_atom_site_fract_y
_atom_site_fract_z
Li1 0.0000 0.0000 0.0000
La1 0.2500 0.2500 0.2500
Cu1 0.0000 0.0000 0.5000
# - Energy of formation from the pure elements: 22.3 meV/atom
# - Total moment: 0.0 μB/cell
# - Distance to the lowest polymorph of the same formula: 0.203 eV/f.u.

---

Entry 8:
# LiLa2Cu9 (PBE-GGA, relaxed)
data_LiLa2Cu9
_symmetry_space_group_name_H-M 'R -3 m'
_symmetry_Int_Tables_number 166
_symmetry_space_group_name_Hall '-R 3 2"'
_cell_length_a 5.1737
_cell_length_b 5.1737
_cell_length_c 25.3558
_cell_angle_alpha 90.00
_cell_angle_beta 90.00
_cell_angle_gamma 120.00
loop_
_atom_site_label
_atom_site_fract_x
_atom_site_fract_y
_atom_site_fract_z
Li1 0.0000 0.0000 0.0000
La1 0.0000 0.0000 0.1352
Cu1 0.0000 0.0000 0.3325
Cu2 0.0000 0.0000 0.5000
Cu3 0.0014 0.5007 0.0783
# - Energy of formation from the pure elements: -53.6 meV/atom
# - Total moment: 0.0 μB/cell

---

> energy of formation from the pure elements of number 1 (LiLaCu)?

-12.9 meV/atom